[1]
Ru2WBr after structural relaxation. Source: Alexandria, functional PBE.

Unit cell a=4.4450 b=4.4450 c=4.4450 alpha=60.00 beta=60.00 gamma=60.00
Sites, in units of the cell vectors:
Ru 0.0000 0.0000 0.0000
Ru 0.7500 0.7500 0.7500
Br 0.5000 0.5000 0.5000
W 0.2500 0.2500 0.2500

Properties
E_tot in eV/atom: -7.2832
Fermi-level density of states in states/eV per cell: 4.6
Space group: F-43m (216)


[2]
Fe2PRu after structural relaxation. Source: Alexandria, functional PBE.

Unit cell a=4.3281 b=4.3281 c=4.3281 alpha=130.27 beta=130.27 gamma=72.98
Site moments in Bohr magnetons follow the coordinates.
Sites, in units of the cell vectors:
Fe 0.0000 0.0000 0.0000  1.22
Fe 0.2500 0.7500 0.5000  -1.24
P 0.5000 0.5000 0.0000  0.01
Ru 0.7500 0.2500 0.5000  0.05

Properties
E_tot in eV/atom: -7.9377
Fermi-level density of states in states/eV per cell: 4.6
Space group: I-4m2 (119)


[3]
PmTl2Si after structural relaxation. Source: Alexandria, functional PBE.

Unit cell a=4.9878 b=4.4798 c=4.4798 alpha=90.00 beta=90.00 gamma=90.00
Sites, in units of the cell vectors:
Tl 0.0000 0.0000 0.5000
Tl 0.0000 0.5000 0.0000
Si 0.5000 0.5000 0.5000
Pm 0.5000 0.0000 0.0000

Properties
E_tot in eV/atom: -3.8969
Fermi-level density of states in states/eV per cell: 2.5
Space group: P4/mmm (123)


> What is the E_tot in the second record?

-7.9377 eV/atom


Repeat the second record exactly.
Fe2PRu after structural relaxation. Source: Alexandria, functional PBE.

Unit cell a=4.3281 b=4.3281 c=4.3281 alpha=130.27 beta=130.27 gamma=72.98
Site moments in Bohr magnetons follow the coordinates.
Sites, in units of the cell vectors:
Fe 0.0000 0.0000 0.0000  1.22
Fe 0.2500 0.7500 0.5000  -1.24
P 0.5000 0.5000 0.0000  0.01
Ru 0.7500 0.2500 0.5000  0.05

Properties
E_tot in eV/atom: -7.9377
Fermi-level density of states in states/eV per cell: 4.6
Space group: I-4m2 (119)